# AgMoO6

A relaxed AgMoO6 crystal (PBE+U, the Alexandria database).

The structure belongs to space group Fm-3m (No. 225); the cell edges are 8.056, 8.056 and 8.056 Å and the angles 90.00°, 90.00° and 90.00°. The distinct sites, in fractional coordinates, are Ag at (0.000, 0.000, 0.000), Mo at (0.000, 0.000, 0.500) and O at (0.000, 0.000, 0.264).

The calculation puts the calculated total energy at -40.89 eV/f.u. The crystal system is cubic.